Entry 1:
Density functional theory data (GGA-PBE) for Cd6Hg after structural relaxation.

The density of states at the Fermi level comes out at 2.562 states/eV/cell. The calculation puts the theoretical density at 8.4 g/cm³. The value obtained for the total DFT energy (no corrections) is -0.782 eV/atom. The total magnetization comes out at 0.0 μB/cell. The formation enthalpy at 0 K is 0.05 eV/atom.

It has space group P4/mmm (No. 123), with a = 4.358 Å, b = 4.358 Å, c = 9.073 Å, α = 90.00°, β = 90.00° and γ = 90.00°. The asymmetric unit holds Cd at (0.000, 0.000, 0.000), Cd at (0.000, 0.500, 0.230), Cd at (0.500, 0.500, 0.500) and Hg at (0.000, 0.000, 0.500).

---

Entry 2:
Density functional theory data (GGA-PBE) for BaCa2V2 after structural relaxation.

The density of states at the Fermi level comes out at 9.369 states/eV/cell. The calculation puts the theoretical density at 3.4 g/cm³. The value obtained for the total DFT energy (no corrections) is -4.232 eV/atom. The total magnetization comes out at 1.4 μB/cell. The formation enthalpy at 0 K is 0.60 eV/atom.

It has space group P4/mbm (No. 127), with a = 9.109 Å, b = 9.109 Å, c = 3.771 Å, α = 90.00°, β = 90.00° and γ = 90.00°. The asymmetric unit holds Ba at (0.000, 0.000, 0.000), Ca at (0.197, 0.303, 0.500) and V at (0.072, 0.572, 0.000).

---

Entry 3:
Density functional theory data (GGA-PBE) for Ca3LaPd2 after structural relaxation.

The density of states at the Fermi level comes out at 8.864 states/eV/cell. The calculation puts the theoretical density at 4.7 g/cm³. The value obtained for the total DFT energy (no corrections) is -4.078 eV/atom. The total magnetization comes out at 0.0 μB/cell. The formation enthalpy at 0 K is -0.53 eV/atom.

It has space group Pmc2_1 (No. 26), with a = 4.622 Å, b = 9.428 Å, c = 7.712 Å, α = 90.00°, β = 90.00° and γ = 90.00°. The asymmetric unit holds Ca at (0.000, 0.083, 0.000), Ca at (0.000, 0.311, 0.381), Ca at (0.500, 0.174, 0.669), La at (0.500, 0.419, 0.045), Pd at (0.000, 0.373, 0.775) and Pd at (0.500, 0.143, 0.261).

---

Entry 4:
Density functional theory data (GGA-PBE) for La2CoOs after structural relaxation.

The density of states at the Fermi level comes out at 20.994 states/eV/cell. The calculation puts the theoretical density at 10.7 g/cm³. The value obtained for the total DFT energy (no corrections) is -6.712 eV/atom. The total magnetization comes out at 6.4 μB/cell. The formation enthalpy at 0 K is 0.34 eV/atom.

It has space group F-43m (No. 216), with a = 6.892 Å, b = 6.892 Å, c = 6.892 Å, α = 90.00°, β = 90.00° and γ = 90.00°. The asymmetric unit holds La at (0.000, 0.000, 0.000), La at (0.250, 0.250, 0.250), Co at (0.250, 0.250, 0.750) and Os at (0.000, 0.000, 0.500).

---

Entry 5:
Density functional theory data (GGA-PBE) for Rb3ThS4 after structural relaxation.

The density of states at the Fermi level comes out at 14.940 states/eV/cell. The calculation puts the theoretical density at 3.8 g/cm³. The value obtained for the total DFT energy (no corrections) is -4.686 eV/atom. The total magnetization comes out at 2.1 μB/cell. The uncorrected formation energy comes out at -1332 meV/atom.

It has space group Cmmm (No. 65), with a = 9.481 Å, b = 13.206 Å, c = 4.339 Å, α = 90.00°, β = 90.00° and γ = 90.00°. The asymmetric unit holds Rb at (0.000, 0.000, 0.000), Rb at (0.250, 0.250, 0.500), Th at (0.000, 0.500, 0.000), S at (0.000, 0.291, 0.000) and S at (0.197, 0.500, 0.500).

---

Entry 6:
Density functional theory data (GGA-PBE) for CsThHg2I8 after structural relaxation.

The density of states at the Fermi level comes out at 6.550 states/eV/cell. The calculation puts the theoretical density at 4.7 g/cm³. The value obtained for the total DFT energy (no corrections) is -2.587 eV/atom. The total magnetization comes out at 0.0 μB/cell. The uncorrected formation energy comes out at -814 meV/atom.

It has space group P-1 (No. 2), with a = 7.829 Å, b = 8.207 Å, c = 10.563 Å, α = 69.83°, β = 83.15° and γ = 86.53°. The asymmetric unit holds Cs at (0.000, 0.000, 0.000), Th at (0.000, 0.500, 0.500), Hg at (0.474, 0.551, 0.813), I at (0.090, 0.507, 0.779), I at (0.160, 0.852, 0.357), I at (0.347, 0.308, 0.463) and I at (0.481, 0.794, 0.966).

---

Entry 7:
Density functional theory data (GGA-PBE) for K2InNi after structural relaxation.

The density of states at the Fermi level comes out at 3.588 states/eV/cell. The calculation puts the theoretical density at 3.1 g/cm³. The value obtained for the total DFT energy (no corrections) is -2.541 eV/atom. The total magnetization comes out at 0.0 μB/cell. The formation enthalpy at 0 K is 0.14 eV/atom.

It has space group Immm (No. 71), with a = 3.460 Å, b = 3.965 Å, c = 19.862 Å, α = 90.00°, β = 90.00° and γ = 90.00°. The asymmetric unit holds K at (0.000, 0.000, 0.150), In at (0.000, 0.500, 0.000) and Ni at (0.000, 0.500, 0.500).

---

Entry 8:
Density functional theory data (GGA-PBE) for Ac3Tb3Nd after structural relaxation.

The density of states at the Fermi level comes out at 70.031 states/eV/cell. The calculation puts the theoretical density at 8.2 g/cm³. The value obtained for the total DFT energy (no corrections) is -4.372 eV/atom. The total magnetization comes out at 0.0 μB/cell. The formation enthalpy at 0 K is 0.05 eV/atom.

It has space group R-3 (No. 148, hexagonal axes), with a = 9.9600 Å, b = 9.9600 Å, c = 18.4863 Å, α = 90.00°, β = 90.00° and γ = 120.00°. The asymmetric unit holds Ac at (0.0408, 0.2403, 0.4159), Tb at (0.0502, 0.2330, 0.9174) and Nd at (0.0000, 0.0000, 0.2432).

---

Entry 9:
Density functional theory data (GGA-PBE) for NaAlGa4 after structural relaxation.

The density of states at the Fermi level comes out at 5.150 states/eV/cell. The calculation puts the theoretical density at 4.6 g/cm³. The value obtained for the total DFT energy (no corrections) is -2.826 eV/atom. The total magnetization comes out at 0.0 μB/cell. The formation enthalpy at 0 K is 0.04 eV/atom.

It has space group F-43m (No. 216), with a = 7.829 Å, b = 7.829 Å, c = 7.829 Å, α = 90.00°, β = 90.00° and γ = 90.00°. The asymmetric unit holds Na at (0.000, 0.000, 0.000), Al at (0.250, 0.250, 0.250) and Ga at (0.125, 0.125, 0.625).

---

Entry 10:
Density functional theory data (GGA-PBE) for HoVRu2 after structural relaxation.

The density of states at the Fermi level comes out at 2.075 states/eV/cell. The calculation puts the theoretical density at 10.6 g/cm³. The value obtained for the total DFT energy (no corrections) is -8.213 eV/atom. The total magnetization comes out at 0.0 μB/cell. The formation enthalpy at 0 K is -0.15 eV/atom.

It has space group P4/mmm (No. 123), with a = 4.527 Å, b = 4.527 Å, c = 3.192 Å, α = 90.00°, β = 90.00° and γ = 90.00°. The asymmetric unit holds Ho at (0.000, 0.000, 0.000), V at (0.500, 0.500, 0.000) and Ru at (0.000, 0.500, 0.500).

---

Entry 11:
Density functional theory data (GGA-PBE) for Rb2NbMoI6 after structural relaxation.

The density of states at the Fermi level comes out at 12.430 states/eV/cell. The calculation puts the theoretical density at 4.6 g/cm³. The value obtained for the total DFT energy (no corrections) is -3.668 eV/atom. The total magnetization comes out at 14.0 μB/cell. The uncorrected formation energy comes out at -454 meV/atom.

It has space group I4/mmm (No. 139), with a = 8.319 Å, b = 8.319 Å, c = 11.715 Å, α = 90.00°, β = 90.00° and γ = 90.00°. The asymmetric unit holds Rb at (0.000, 0.500, 0.250), Nb at (0.000, 0.000, 0.000), Mo at (0.000, 0.000, 0.500), I at (0.000, 0.000, 0.250) and I at (0.249, 0.249, 0.000).

---

Entry 12:
Density functional theory data (GGA-PBE) for TlCd2Ni after structural relaxation.

The density of states at the Fermi level comes out at 3.483 states/eV/cell. The calculation puts the theoretical density at 10.2 g/cm³. The value obtained for the total DFT energy (no corrections) is -2.248 eV/atom. The total magnetization comes out at 0.0 μB/cell. The formation enthalpy at 0 K is 0.25 eV/atom.

It has space group I-4m2 (No. 119), with a = 4.347 Å, b = 4.347 Å, c = 8.427 Å, α = 90.00°, β = 90.00° and γ = 90.00°. The asymmetric unit holds Tl at (0.000, 0.000, 0.000), Cd at (0.000, 0.000, 0.500), Cd at (0.000, 0.500, 0.750) and Ni at (0.000, 0.500, 0.250).

---

- Look up the theoretical density of the ninth one.
  4.6 g/cm³